No. 1
A PBEsol-optimized structure of Li15Fe2O12. Source: Alexandria via LeMat-Bulk, functional SCAN.

Lattice parameters (Å, degrees): 5.2299 5.8096 7.9048 85.74 89.78 89.01
Atoms (fractional coordinates):
1 Li 0.0000 0.0000 0.0000
2 Li 0.0015 0.2793 0.7051
3 Li 0.1324 0.8639 0.7265
4 Li 0.1350 0.1618 0.4509
5 Li 0.2756 0.7859 0.4278
6 Li 0.3505 0.4991 0.7437
7 Li 0.3550 0.2402 0.1740
8 Li 0.4452 0.1170 0.8624
9 Li 0.4836 0.3911 0.4339
10 Li 0.5112 0.7767 0.1719
11 Li 0.6646 0.7496 0.8818
12 Li 0.7704 0.3567 0.9559
13 Li 0.8097 0.6175 0.6010
14 Li 0.8343 0.0113 0.2716
15 Li 0.9203 0.4905 0.2936
16 Fe 0.1492 0.5709 0.0395
17 Fe 0.6461 0.0391 0.5716
18 O 0.2884 0.5540 0.2662
19 O 0.3095 0.8456 0.9722
20 O 0.3492 0.2106 0.6369
21 O 0.4284 0.4067 0.9675
22 O 0.4886 0.0437 0.3513
23 O 0.4898 0.7613 0.6316
24 O 0.7889 0.0522 0.7941
25 O 0.8154 0.3254 0.5013
26 O 0.8609 0.7326 0.1146
27 O 0.9420 0.8889 0.4958
28 O 0.9942 0.5575 0.8213
29 O 0.9963 0.2706 0.1253

Computed properties:
Total moment ... 5.00 μB/f.u.
Total DFT energy (no corrections) ... -203.14 eV/f.u.


No. 2
A PBEsol-optimized structure of ZrSi3Pt. Source: Alexandria via LeMat-Bulk, functional SCAN.

Lattice parameters (Å, degrees): 4.8752 4.8752 4.8752 90.00 90.00 90.00
Atoms (fractional coordinates):
1 Zr 0.0000 0.0000 0.0000
2 Si 0.0000 0.0000 0.5000
3 Si 0.0000 0.5000 0.0000
4 Si 0.5000 0.0000 0.0000
5 Pt 0.5000 0.5000 0.5000

Computed properties:
Total moment ... 0.00 μB/f.u.
Total DFT energy (no corrections) ... -123.60 eV/f.u.


No. 3
A PBEsol-optimized structure of FeSbRu. Source: Alexandria via LeMat-Bulk, functional SCAN.

Lattice parameters (Å, degrees): 3.0536 3.6553 8.1257 90.00 90.00 90.00
Atoms (fractional coordinates):
1 Fe 0.0000 0.0000 0.0000
2 Fe 0.5000 0.5000 0.5000
3 Sb 0.0000 0.0000 0.3280
4 Sb 0.5000 0.5000 0.8280
5 Ru 0.0000 0.0000 0.6597
6 Ru 0.5000 0.5000 0.1597

Computed properties:
Total moment ... 3.64 μB/f.u.
Total DFT energy (no corrections) ... -89.73 eV/f.u.


No. 4
A PBEsol-optimized structure of BaRh2Cl. Source: Alexandria via LeMat-Bulk, functional SCAN.

Lattice parameters (Å, degrees): 4.4427 6.0180 6.0538 90.00 90.00 90.00
Atoms (fractional coordinates):
1 Ba 0.0000 0.0000 0.0000
2 Ba 0.5000 0.5000 0.0000
3 Rh 0.0000 0.5000 0.2817
4 Rh 0.0000 0.5000 0.7183
5 Rh 0.5000 0.0000 0.2817
6 Rh 0.5000 0.0000 0.7183
7 Cl 0.0000 0.0000 0.5000
8 Cl 0.5000 0.5000 0.5000

Computed properties:
Total moment ... 0.78 μB/f.u.
Offset from the most stable computed form ... 438.7 meV/atom
Total DFT energy (no corrections) ... -113.63 eV/f.u.


- What is the total moment in the third record?
  3.64 μB/f.u.


- Look up the total DFT energy (no corrections) of the fourth one.
  -113.63 eV/f.u.